LiTiV2O6 | SCAN | PBEsol geometry

Output
formation energy (no corrections): -2.743 eV per atom
V: 102.2 Å³/cell

Lattice parameters (Å, degrees): 6.3689 6.3689 5.8213 103.12 103.12 26.42
Last column: nearest neighbours and their distance in Å.
Element x y z (fractional)
Li  0.0000  0.0000  0.0000  6 O 2.06-2.16
Ti  0.6791  0.6791  0.8010  6 O 1.88-2.07
V  0.3227  0.3227  0.1996  6 O 1.92-2.02
V  0.9877  0.9877  0.4977  6 O 1.94-2.00
O  0.1538  0.1538  0.5829  2 Ti 1.91, 1 V 2.00
O  0.1691  0.1691  0.0357  1 V 1.92, 2 Ti 2.02, 1 Li 2.06
O  0.4830  0.4830  0.2637  3 V 1.93-1.98, 2 Li 2.16
O  0.5077  0.5077  0.7324  2 V 1.97, 1 Ti 2.07, 2 Li 2.15
O  0.8270  0.8270  0.4162  3 V 1.92-1.94
O  0.8292  0.8292  0.9624  1 Ti 1.88, 2 V 2.02, 1 Li 2.08